[1]
DFT (GGA-PBE) results for crystalline AsH2S2 at its relaxed geometry.

VASP energy (eV per atom): -3.653
M_tot (μB per atom): 0.000

Cell: 5.594 4.775 6.815 Å, 90.00 103.82 90.00°
Space group C2/m (No. 12)
Inequivalent atoms, fractional coordinates:
As 0.000 0.000 0.000
H 0.041 0.500 0.836
S 0.208 0.500 0.239

[2]
DFT (GGA-PBE) results for crystalline As2HS at its relaxed geometry.

E above lowest polymorph (eV per atom): 0.2203
M_tot (μB per atom): 0.000

Cell: 6.220 6.220 6.220 Å, 90.00 90.00 90.00°
Space group Fm-3m (No. 225)
Inequivalent atoms, fractional coordinates:
As 0.250 0.250 0.250
H 0.000 0.000 0.000
S 0.000 0.000 0.500

[3]
DFT (GGA-PBE) results for crystalline AsHS2 at its relaxed geometry.

E above lowest polymorph (eV per atom): 0.0065
M_tot (μB per atom): 0.000

Cell: 4.382 5.740 8.501 Å, 96.58 103.97 90.01°
Space group P1 (No. 1)
Inequivalent atoms, fractional coordinates:
As 0.000 0.000 0.000
As 0.442 0.514 0.876
H 0.152 0.204 0.630
H 0.940 0.310 0.246
S 0.030 0.419 0.653
S 0.196 0.652 0.079
S 0.564 0.862 0.796
S 0.798 0.095 0.223

[4]
DFT (GGA-PBE) results for crystalline As2HS at its relaxed geometry.

E above lowest polymorph (eV per atom): 0.0000
M_tot (μB per atom): 0.000

Cell: 5.289 5.289 9.848 Å, 90.00 90.00 90.00°
Space group I-42d (No. 122)
Inequivalent atoms, fractional coordinates:
As 0.160 0.250 0.125
H 0.000 0.000 0.000
S 0.000 0.000 0.500

[5]
DFT (GGA-PBE) results for crystalline AsHS2 at its relaxed geometry.

E above lowest polymorph (eV per atom): 0.6190
M_tot (μB per atom): 0.000

Cell: 5.368 5.368 10.009 Å, 90.00 90.00 90.00°
Space group I-42d (No. 122)
Inequivalent atoms, fractional coordinates:
As 0.000 0.000 0.000
H 0.000 0.000 0.500
S 0.183 0.250 0.625

[6]
DFT (GGA-PBE) results for crystalline AsHS2 at its relaxed geometry.

E above lowest polymorph (eV per atom): 0.0000
M_tot (μB per atom): 0.000

Cell: 7.989 10.767 4.196 Å, 90.00 90.00 90.00°
Space group Pna2_1 (No. 33)
Inequivalent atoms, fractional coordinates:
As 0.080 0.121 0.000
H 0.062 0.354 0.778
S 0.049 0.733 0.175
S 0.169 0.971 0.631

[7]
DFT (GGA-PBE) results for crystalline Sc4AsHS2 at its relaxed geometry.

VASP energy (eV per atom): -6.505
M_tot (μB per atom): 0.000

Cell: 7.346 10.399 7.446 Å, 90.00 90.00 90.00°
Space group Fmm2 (No. 42)
Inequivalent atoms, fractional coordinates:
Sc 0.000 0.250 0.000
Sc 0.224 0.000 0.268
As 0.000 0.000 0.994
H 0.000 0.000 0.451
S 0.250 0.250 0.251

[8]
DFT (GGA-PBE) results for crystalline As2HSeS at its relaxed geometry.

E above lowest polymorph (eV per atom): 0.0000
M_tot (μB per atom): 0.000

Cell: 4.741 4.741 3.582 Å, 90.00 90.00 90.00°
Space group P4/mmm (No. 123)
Inequivalent atoms, fractional coordinates:
As 0.000 0.500 0.000
H 0.000 0.000 0.000
Se 0.000 0.000 0.500
S 0.500 0.500 0.500

[9]
DFT (GGA-PBE) results for crystalline As2HSeS at its relaxed geometry.

E above lowest polymorph (eV per atom): 0.4736
M_tot (μB per atom): 0.042

Cell: 4.872 4.872 4.915 Å, 90.00 90.00 90.00°
Space group P4/mmm (No. 123)
Inequivalent atoms, fractional coordinates:
As 0.000 0.500 0.000
H 0.000 0.000 0.500
Se 0.500 0.500 0.500
S 0.500 0.500 0.000

[10]
DFT (GGA-PBE) results for crystalline Sm4AsHS2 at its relaxed geometry.

VASP energy (eV per atom): -5.896
M_tot (μB per atom): 0.000

Cell: 3.991 13.187 13.521 Å, 90.00 90.00 90.00°
Space group Cmcm (No. 63)
Inequivalent atoms, fractional coordinates:
Sm 0.000 0.000 0.000
Sm 0.000 0.275 0.121
Sm 0.000 0.443 0.750
As 0.000 0.106 0.750
H 0.000 0.160 0.250
S 0.000 0.365 0.563

[11]
DFT (GGA-PBE) results for crystalline SrAsH2S4 at its relaxed geometry.

VASP energy (eV per atom): -4.183
M_tot (μB per atom): 0.000

Cell: 5.516 7.282 7.756 Å, 90.00 90.00 90.00°
Space group I222 (No. 23)
Inequivalent atoms, fractional coordinates:
Sr 0.000 0.000 0.000
As 0.000 0.000 0.500
H 0.000 0.500 0.163
S 0.222 0.347 0.818

[12]
DFT (GGA-PBE) results for crystalline TcAsHS2 at its relaxed geometry.

VASP energy (eV per atom): -4.720
M_tot (μB per atom): 0.002

Cell: 4.496 4.496 3.323 Å, 90.00 90.00 90.00°
Space group P4/mmm (No. 123)
Inequivalent atoms, fractional coordinates:
Tc 0.000 0.000 0.000
As 0.500 0.500 0.000
H 0.000 0.000 0.500
S 0.000 0.500 0.500

[13]
DFT (GGA-PBE) results for crystalline TeAsH2S4 at its relaxed geometry.

VASP energy (eV per atom): -3.939
M_tot (μB per atom): 0.000

Cell: 7.640 8.183 8.651 Å, 101.44 115.61 106.68°
Space group P1 (No. 1)
Inequivalent atoms, fractional coordinates:
Te 0.000 0.000 0.000
Te 0.301 0.693 0.049
As 0.579 0.110 0.485
As 0.692 0.210 0.141
H 0.014 0.301 0.601
H 0.720 0.724 0.635
H 0.751 0.517 0.041
H 0.999 0.552 0.429
S 0.044 0.422 0.353
S 0.072 0.832 0.187
S 0.243 0.847 0.853
S 0.539 0.288 0.308
S 0.570 0.357 0.943
S 0.643 0.783 0.739
S 0.653 0.903 0.329
S 0.938 0.272 0.714

[14]
DFT (GGA-PBE) results for crystalline TlAsHS2 at its relaxed geometry.

VASP energy (eV per atom): -3.796
M_tot (μB per atom): 0.000

Cell: 5.568 5.139 8.909 Å, 90.00 97.77 90.00°
Space group P2/c (No. 13)
Inequivalent atoms, fractional coordinates:
Tl 0.000 0.199 0.250
As 0.500 0.103 0.750
H 0.500 0.500 0.000
S 0.287 0.371 0.586

[15]
DFT (GGA-PBE) results for crystalline SbAsH2 at its relaxed geometry.

E above lowest polymorph (eV per atom): 0.5312
M_tot (μB per atom): 0.000

Cell: 5.888 5.888 5.888 Å, 90.00 90.00 90.00°
Space group Fm-3m (No. 225)
Inequivalent atoms, fractional coordinates:
Sb 0.000 0.000 0.000
As 0.000 0.000 0.500
H 0.250 0.250 0.250

[16]
DFT (GGA-PBE) results for crystalline Sb3AsH at its relaxed geometry.

E above lowest polymorph (eV per atom): 0.0000
M_tot (μB per atom): 0.000

Cell: 4.712 4.712 4.712 Å, 90.00 90.00 90.00°
Space group Pm-3m (No. 221)
Inequivalent atoms, fractional coordinates:
Sb 0.000 0.000 0.500
As 0.500 0.500 0.500
H 0.000 0.000 0.000

[17]
DFT (GGA-PBE) results for crystalline SbAsH2 at its relaxed geometry.

E above lowest polymorph (eV per atom): 0.0000
M_tot (μB per atom): 0.000

Cell: 5.212 5.649 6.776 Å, 90.00 90.27 90.00°
Space group P2_1/m (No. 11)
Inequivalent atoms, fractional coordinates:
Sb 0.007 0.250 0.469
As 0.323 0.750 0.835
H 0.169 0.556 0.943

[18]
DFT (GGA-PBE) results for crystalline SbAsH2 at its relaxed geometry.

E above lowest polymorph (eV per atom): 0.4814
M_tot (μB per atom): 0.000

Cell: 3.5976 3.5976 14.9447 Å, 90.00 90.00 120.00°
Space group R-3m (No. 166, hexagonal axes)
Inequivalent atoms, fractional coordinates:
Sb 0.0000 0.0000 0.0000
As 0.0000 0.0000 0.5000
H 0.0000 0.0000 0.1422

[19]
DFT (GGA-PBE) results for crystalline Sb3AsH at its relaxed geometry.

E above lowest polymorph (eV per atom): 0.5580
M_tot (μB per atom): 0.168

Cell: 5.444 5.444 5.444 Å, 90.00 90.00 90.00°
Space group Pm-3m (No. 221)
Inequivalent atoms, fractional coordinates:
Sb 0.000 0.000 0.500
As 0.000 0.000 0.000
H 0.500 0.500 0.500

[20]
DFT (GGA-PBE) results for crystalline Sb2AsH at its relaxed geometry.

E above lowest polymorph (eV per atom): 0.0000
M_tot (μB per atom): 0.000

Cell: 5.763 5.763 11.242 Å, 90.00 90.00 90.00°
Space group I-42d (No. 122)
Inequivalent atoms, fractional coordinates:
Sb 0.168 0.250 0.125
As 0.000 0.000 0.500
H 0.000 0.000 0.000

[21]
DFT (GGA-PBE) results for crystalline Sb2AsH at its relaxed geometry.

E above lowest polymorph (eV per atom): 0.1295
M_tot (μB per atom): 0.000

Cell: 6.874 6.874 6.874 Å, 90.00 90.00 90.00°
Space group Fm-3m (No. 225)
Inequivalent atoms, fractional coordinates:
Sb 0.250 0.250 0.250
As 0.000 0.000 0.000
H 0.000 0.000 0.500

[22]
DFT (GGA-PBE) results for crystalline SbAsH2 at its relaxed geometry.

E above lowest polymorph (eV per atom): 0.2680
M_tot (μB per atom): 0.000

Cell: 5.588 5.588 7.923 Å, 90.00 90.00 90.00°
Space group I4_1/amd (No. 141, origin choice 2)
Inequivalent atoms, fractional coordinates:
Sb 0.000 0.250 0.375
As 0.000 0.250 0.875
H 0.000 0.000 0.000

[23]
DFT (GGA-PBE) results for crystalline SbAs2HSe at its relaxed geometry.

E above lowest polymorph (eV per atom): 0.0000
M_tot (μB per atom): 0.000

Cell: 4.084 4.084 5.649 Å, 90.00 90.00 90.00°
Space group P4/mmm (No. 123)
Inequivalent atoms, fractional coordinates:
Sb 0.000 0.000 0.000
As 0.000 0.500 0.500
H 0.500 0.500 0.500
Se 0.500 0.500 0.000

[24]
DFT (GGA-PBE) results for crystalline SbAs2HSe at its relaxed geometry.

E above lowest polymorph (eV per atom): 0.7358
M_tot (μB per atom): 0.496

Cell: 5.393 5.393 5.432 Å, 90.00 90.00 90.00°
Space group P4/mmm (No. 123)
Inequivalent atoms, fractional coordinates:
Sb 0.000 0.000 0.000
As 0.000 0.500 0.000
H 0.500 0.500 0.500
Se 0.000 0.000 0.500

[25]
DFT (GGA-PBE) results for crystalline Sn2SbAsH at its relaxed geometry.

VASP energy (eV per atom): -3.842
M_tot (μB per atom): 0.000

Cell: 5.829 5.829 3.393 Å, 90.00 90.00 90.00°
Space group P4/mmm (No. 123)
Inequivalent atoms, fractional coordinates:
Sn 0.000 0.500 0.000
Sb 0.000 0.000 0.500
As 0.500 0.500 0.000
H 0.500 0.500 0.500